# 1
Entry from the Alexandria database: a relaxed structure of Pm13Dy3 (PBE).

The distance to the lowest polymorph of the same formula is 14.9 meV per atom. Its energy of formation from the pure elements is 0.029 eV per atom. For the total energy, the calculation gives -75.10 eV/cell. The magnetization comes out at 0.0 μB/cell.

Structure (CIF):
```
data_Pm13Dy3
_space_group_name_H-M_alt 'P 1'
_space_group_IT_number 1
_space_group_name_Hall 'P 1'
_cell_length_a 7.3445
_cell_length_b 8.6378
_cell_length_c 8.6378
_cell_angle_alpha 85.24
_cell_angle_beta 90.00
_cell_angle_gamma 90.00
loop_
_atom_site_label
_atom_site_type_symbol
_atom_site_fract_x
_atom_site_fract_y
_atom_site_fract_z
_atom_site_occupancy
Pm1 Pm 0.0000 0.0000 0.0000 1
Pm2 Pm 0.0000 0.4205 0.9159 1
Pm3 Pm 0.0000 0.5019 0.5019 1
Pm4 Pm 0.0000 0.9159 0.4205 1
Pm5 Pm 0.2502 0.2505 0.2505 1
Pm6 Pm 0.2510 0.1660 0.6700 1
Pm7 Pm 0.2510 0.6700 0.1660 1
Pm8 Pm 0.5000 0.4189 0.9167 1
Pm9 Pm 0.5000 0.5024 0.5024 1
Pm10 Pm 0.5000 0.9167 0.4189 1
Pm11 Pm 0.7490 0.1660 0.6700 1
Pm12 Pm 0.7490 0.6700 0.1660 1
Pm13 Pm 0.7498 0.2505 0.2505 1
Dy1 Dy 0.2505 0.7523 0.7523 1
Dy2 Dy 0.5000 0.9997 0.9997 1
Dy3 Dy 0.7495 0.7523 0.7523 1
```



# 2
Entry from the Alexandria database: a relaxed structure of KMnAs2Br (PBE).

The distance to the lowest polymorph of the same formula is 0.0 meV per atom. The value obtained for the uncorrected formation energy is -1.6 eV/f.u. For the total energy, the calculation gives -22.83 eV/cell. The magnetization comes out at 2.6 μB/cell.

Structure (CIF):
```
data_KMnAs2Br
_space_group_name_H-M_alt 'P 1'
_space_group_IT_number 1
_space_group_name_Hall 'P 1'
_cell_length_a 4.6116
_cell_length_b 4.6116
_cell_length_c 6.7668
_cell_angle_alpha 90.00
_cell_angle_beta 90.00
_cell_angle_gamma 90.00
loop_
_atom_site_label
_atom_site_type_symbol
_atom_site_fract_x
_atom_site_fract_y
_atom_site_fract_z
_atom_site_occupancy
K1 K 0.0000 0.0000 0.0000 1
Mn1 Mn 0.5000 0.5000 0.5000 1
As1 As 0.0000 0.5000 0.5000 1
As2 As 0.5000 0.0000 0.5000 1
Br1 Br 0.5000 0.5000 0.0000 1
```



# 3
Entry from the Alexandria database: a relaxed structure of InMoPt2 (PBE).

Its energy of formation from the pure elements is -0.088 eV per atom. For the total energy, the calculation gives -26.00 eV/cell. The magnetization comes out at 0.0 μB/cell.

Structure (CIF):
```
data_InMoPt2
_space_group_name_H-M_alt 'P 1'
_space_group_IT_number 1
_space_group_name_Hall 'P 1'
_cell_length_a 9.3926
_cell_length_b 9.3926
_cell_length_c 9.3926
_cell_angle_alpha 17.79
_cell_angle_beta 17.79
_cell_angle_gamma 17.79
loop_
_atom_site_label
_atom_site_type_symbol
_atom_site_fract_x
_atom_site_fract_y
_atom_site_fract_z
_atom_site_occupancy
In1 In 0.0000 0.0000 0.0000 1
Mo1 Mo 0.5000 0.5000 0.5000 1
Pt1 Pt 0.2466 0.2466 0.2466 1
Pt2 Pt 0.7534 0.7534 0.7534 1
```



# 4
Entry from the Alexandria database: a relaxed structure of Na2SnHgTe4 (PBE).

The value obtained for the uncorrected formation energy is -2.9 eV/f.u. For the total energy, the calculation gives -44.88 eV/cell. The magnetization comes out at 0.0 μB/cell.

Structure (CIF):
```
data_Na2SnHgTe4
_space_group_name_H-M_alt 'P 1'
_space_group_IT_number 1
_space_group_name_Hall 'P 1'
_cell_length_a 8.8669
_cell_length_b 8.8669
_cell_length_c 8.5823
_cell_angle_alpha 117.36
_cell_angle_beta 117.36
_cell_angle_gamma 92.43
loop_
_atom_site_label
_atom_site_type_symbol
_atom_site_fract_x
_atom_site_fract_y
_atom_site_fract_z
_atom_site_occupancy
Na1 Na 0.0000 0.0000 0.0000 1
Na2 Na 0.0000 0.0000 0.5000 1
Na3 Na 0.0000 0.5000 0.0000 1
Na4 Na 0.5000 0.0000 0.5000 1
Sn1 Sn 0.5000 0.5000 0.0000 1
Sn2 Sn 0.5000 0.5000 0.5000 1
Hg1 Hg 0.0000 0.5000 0.5000 1
Hg2 Hg 0.5000 0.0000 0.0000 1
Te1 Te 0.2332 0.7104 0.4866 1
Te2 Te 0.2617 0.2758 0.0265 1
Te3 Te 0.2758 0.2617 0.5265 1
Te4 Te 0.2896 0.7668 0.0134 1
Te5 Te 0.7104 0.2332 0.9866 1
Te6 Te 0.7242 0.7383 0.4735 1
Te7 Te 0.7383 0.7242 0.9735 1
Te8 Te 0.7668 0.2896 0.5134 1
```



# 5
Entry from the Alexandria database: a relaxed structure of Tm8Ni2Rh (PBE).

The distance to the lowest polymorph of the same formula is 0.0 meV per atom. Its energy of formation from the pure elements is -0.352 eV per atom. For the total energy, the calculation gives -58.56 eV/cell. The magnetization comes out at 0.0 μB/cell.

Structure (CIF):
```
data_Tm8Ni2Rh
_space_group_name_H-M_alt 'P 1'
_space_group_IT_number 1
_space_group_name_Hall 'P 1'
_cell_length_a 8.7820
_cell_length_b 8.7820
_cell_length_c 6.5375
_cell_angle_alpha 105.51
_cell_angle_beta 105.51
_cell_angle_gamma 32.65
loop_
_atom_site_label
_atom_site_type_symbol
_atom_site_fract_x
_atom_site_fract_y
_atom_site_fract_z
_atom_site_occupancy
Tm1 Tm 0.0360 0.0360 0.2900 1
Tm2 Tm 0.2015 0.2015 0.8253 1
Tm3 Tm 0.3294 0.3294 0.5221 1
Tm4 Tm 0.4078 0.4078 0.0505 1
Tm5 Tm 0.5922 0.5922 0.9495 1
Tm6 Tm 0.6706 0.6706 0.4779 1
Tm7 Tm 0.7985 0.7985 0.1747 1
Tm8 Tm 0.9640 0.9640 0.7100 1
Ni1 Ni 0.1872 0.1872 0.2186 1
Ni2 Ni 0.8128 0.8128 0.7814 1
Rh1 Rh 0.5000 0.5000 0.5000 1
```



# 6
Entry from the Alexandria database: a relaxed structure of LiAc2TlHg6 (PBE).

Its energy of formation from the pure elements is -0.266 eV per atom. For the total energy, the calculation gives -33.93 eV/cell. The magnetization comes out at 0.0 μB/cell.

Structure (CIF):
```
data_LiAc2TlHg6
_space_group_name_H-M_alt 'P 1'
_space_group_IT_number 1
_space_group_name_Hall 'P 1'
_cell_length_a 13.1296
_cell_length_b 13.1296
_cell_length_c 13.1296
_cell_angle_alpha 31.61
_cell_angle_beta 31.61
_cell_angle_gamma 31.61
loop_
_atom_site_label
_atom_site_type_symbol
_atom_site_fract_x
_atom_site_fract_y
_atom_site_fract_z
_atom_site_occupancy
Li1 Li 0.0000 0.0000 0.0000 1
Li2 Li 0.5000 0.5000 0.5000 1
Ac1 Ac 0.1113 0.1113 0.1113 1
Ac2 Ac 0.2834 0.2834 0.2834 1
Ac3 Ac 0.7166 0.7166 0.7166 1
Ac4 Ac 0.8887 0.8887 0.8887 1
Tl1 Tl 0.4261 0.4261 0.4261 1
Tl2 Tl 0.5739 0.5739 0.5739 1
Hg1 Hg 0.0808 0.6672 0.6672 1
Hg2 Hg 0.2111 0.2111 0.6743 1
Hg3 Hg 0.2111 0.6743 0.2111 1
Hg4 Hg 0.3257 0.7889 0.7889 1
Hg5 Hg 0.3328 0.3328 0.9192 1
Hg6 Hg 0.3328 0.9192 0.3328 1
Hg7 Hg 0.6672 0.0808 0.6672 1
Hg8 Hg 0.6672 0.6672 0.0808 1
Hg9 Hg 0.6743 0.2111 0.2111 1
Hg10 Hg 0.7889 0.3257 0.7889 1
Hg11 Hg 0.7889 0.7889 0.3257 1
Hg12 Hg 0.9192 0.3328 0.3328 1
```



# 7
Entry from the Alexandria database: a relaxed structure of OsRh2Au (PBE).

The distance to the lowest polymorph of the same formula is 327.6 meV per atom. Its energy of formation from the pure elements is 0.393 eV per atom. For the total energy, the calculation gives -27.64 eV/cell. The magnetization comes out at 0.0 μB/cell.

Structure (CIF):
```
data_OsRh2Au
_space_group_name_H-M_alt 'P 1'
_space_group_IT_number 1
_space_group_name_Hall 'P 1'
_cell_length_a 5.5970
_cell_length_b 5.5970
_cell_length_c 5.5970
_cell_angle_alpha 151.61
_cell_angle_beta 131.08
_cell_angle_gamma 57.54
loop_
_atom_site_label
_atom_site_type_symbol
_atom_site_fract_x
_atom_site_fract_y
_atom_site_fract_z
_atom_site_occupancy
Os1 Os 0.0000 0.0000 0.0000 1
Rh1 Rh 0.5415 0.5415 0.0000 1
Rh2 Rh 0.7836 0.2836 0.5000 1
Au1 Au 0.2629 0.7629 0.5000 1
```



# 8
Entry from the Alexandria database: a relaxed structure of HoErScMn (PBE).

Its energy of formation from the pure elements is 0.222 eV per atom. For the total energy, the calculation gives -23.75 eV/cell. The magnetization comes out at 2.5 μB/cell.

Structure (CIF):
```
data_HoErScMn
_space_group_name_H-M_alt 'P 1'
_space_group_IT_number 1
_space_group_name_Hall 'P 1'
_cell_length_a 5.1647
_cell_length_b 5.1647
_cell_length_c 5.1647
_cell_angle_alpha 60.00
_cell_angle_beta 60.00
_cell_angle_gamma 60.00
loop_
_atom_site_label
_atom_site_type_symbol
_atom_site_fract_x
_atom_site_fract_y
_atom_site_fract_z
_atom_site_occupancy
Ho1 Ho 0.0000 0.0000 0.0000 1
Er1 Er 0.5000 0.5000 0.5000 1
Sc1 Sc 0.2500 0.2500 0.2500 1
Mn1 Mn 0.7500 0.7500 0.7500 1
```



# 9
Entry from the Alexandria database: a relaxed structure of Sm2DyGa4 (PBE).

Its energy of formation from the pure elements is -0.619 eV per atom. For the total energy, the calculation gives -30.48 eV/cell. The magnetization comes out at 0.5 μB/cell.

Structure (CIF):
```
data_Sm2DyGa4
_space_group_name_H-M_alt 'P 1'
_space_group_IT_number 1
_space_group_name_Hall 'P 1'
_cell_length_a 9.7516
_cell_length_b 9.7516
_cell_length_c 9.7516
_cell_angle_alpha 155.30
_cell_angle_beta 154.53
_cell_angle_gamma 35.78
loop_
_atom_site_label
_atom_site_type_symbol
_atom_site_fract_x
_atom_site_fract_y
_atom_site_fract_z
_atom_site_occupancy
Sm1 Sm 0.1844 0.1844 0.0000 1
Sm2 Sm 0.8156 0.8156 0.0000 1
Dy1 Dy 0.0000 0.5000 0.5000 1
Ga1 Ga 0.3573 0.3573 0.0000 1
Ga2 Ga 0.4345 0.9345 0.5000 1
Ga3 Ga 0.5655 0.0655 0.5000 1
Ga4 Ga 0.6427 0.6427 0.0000 1
```



# 10
Entry from the Alexandria database: a relaxed structure of Li2GeBi (PBE).

The distance to the lowest polymorph of the same formula is 77.3 meV per atom. Its energy of formation from the pure elements is -0.197 eV per atom. For the total energy, the calculation gives -52.46 eV/cell. The magnetization comes out at 0.0 μB/cell.

Structure (CIF):
```
data_Li2GeBi
_space_group_name_H-M_alt 'P 1'
_space_group_IT_number 1
_space_group_name_Hall 'P 1'
_cell_length_a 6.8010
_cell_length_b 6.4544
_cell_length_c 10.2014
_cell_angle_alpha 90.00
_cell_angle_beta 129.94
_cell_angle_gamma 90.00
loop_
_atom_site_label
_atom_site_type_symbol
_atom_site_fract_x
_atom_site_fract_y
_atom_site_fract_z
_atom_site_occupancy
Li1 Li 0.0640 0.2471 0.0675 1
Li2 Li 0.0640 0.2529 0.5675 1
Li3 Li 0.1874 0.7315 0.2894 1
Li4 Li 0.1874 0.7685 0.7894 1
Li5 Li 0.8126 0.2315 0.2106 1
Li6 Li 0.8126 0.2685 0.7106 1
Li7 Li 0.9360 0.7471 0.4325 1
Li8 Li 0.9360 0.7529 0.9325 1
Ge1 Ge 0.3235 0.1351 0.4381 1
Ge2 Ge 0.3235 0.3649 0.9381 1
Ge3 Ge 0.6765 0.6351 0.0619 1
Ge4 Ge 0.6765 0.8649 0.5619 1
Bi1 Bi 0.4579 0.5738 0.6670 1
Bi2 Bi 0.4579 0.9262 0.1670 1
Bi3 Bi 0.5421 0.0738 0.8330 1
Bi4 Bi 0.5421 0.4262 0.3330 1
```



# 11
Entry from the Alexandria database: a relaxed structure of HoMgAg4 (PBE).

The distance to the lowest polymorph of the same formula is 32.3 meV per atom. Its energy of formation from the pure elements is -0.182 eV per atom. For the total energy, the calculation gives -18.67 eV/cell. The magnetization comes out at 0.0 μB/cell.

Structure (CIF):
```
data_HoMgAg4
_space_group_name_H-M_alt 'P 1'
_space_group_IT_number 1
_space_group_name_Hall 'P 1'
_cell_length_a 5.5869
_cell_length_b 5.5869
_cell_length_c 5.5869
_cell_angle_alpha 60.00
_cell_angle_beta 60.00
_cell_angle_gamma 60.00
loop_
_atom_site_label
_atom_site_type_symbol
_atom_site_fract_x
_atom_site_fract_y
_atom_site_fract_z
_atom_site_occupancy
Ho1 Ho 0.0000 0.0000 0.0000 1
Mg1 Mg 0.2500 0.2500 0.2500 1
Ag1 Ag 0.1260 0.6247 0.6247 1
Ag2 Ag 0.6247 0.1260 0.6247 1
Ag3 Ag 0.6247 0.6247 0.1260 1
Ag4 Ag 0.6247 0.6247 0.6247 1
```



# 12
Entry from the Alexandria database: a relaxed structure of Ba2PRhBr (PBE).

The distance to the lowest polymorph of the same formula is 16.4 meV per atom. The value obtained for the uncorrected formation energy is -5.3 eV/f.u. For the total energy, the calculation gives -23.58 eV/cell. The magnetization comes out at 0.0 μB/cell.

Structure (CIF):
```
data_Ba2PRhBr
_space_group_name_H-M_alt 'P 1'
_space_group_IT_number 1
_space_group_name_Hall 'P 1'
_cell_length_a 6.2278
_cell_length_b 6.2278
_cell_length_c 4.3608
_cell_angle_alpha 90.00
_cell_angle_beta 90.00
_cell_angle_gamma 90.00
loop_
_atom_site_label
_atom_site_type_symbol
_atom_site_fract_x
_atom_site_fract_y
_atom_site_fract_z
_atom_site_occupancy
Ba1 Ba 0.0000 0.5000 0.0000 1
Ba2 Ba 0.5000 0.0000 0.0000 1
P1 P 0.0000 0.0000 0.0000 1
Rh1 Rh 0.0000 0.0000 0.5000 1
Br1 Br 0.5000 0.5000 0.5000 1
```